No. 1
VASP calculation (PBE) on an optimized crystal structure of ZrMo2Os.

ΔE to the lowest computed polymorph = 0.69 eV/f.u.
DFT total energy = -41.254 eV per cell
Space group = No. 123
Energy of formation = 0.2 eV/f.u.

Cell: 4.5581 4.5581 3.1955 Å, 90.00 90.00 90.00°
Atoms (fractional coordinates):
1 Mo 0.0000 0.0000 0.0000
2 Mo 0.5000 0.5000 0.0000
3 Os 0.5000 0.0000 0.5000
4 Zr 0.0000 0.5000 0.5000


No. 2
VASP calculation (PBE) on an optimized crystal structure of SrSbCl2.

ΔE to the lowest computed polymorph = 1.31 eV/f.u.
DFT total energy = -13.509 eV per cell
Space group = No. 123
Uncorrected formation energy = -96.8 kJ per mole of atoms

Cell: 4.9353 4.9353 4.3950 Å, 90.00 90.00 90.00°
Atoms (fractional coordinates):
1 Sb 0.5000 0.0000 0.5000
2 Cl 0.0000 0.0000 0.0000
3 Cl 0.5000 0.5000 0.0000
4 Sr 0.0000 0.5000 0.5000


No. 3
VASP calculation (PBE) on an optimized crystal structure of La4PuSe5.

DFT total energy = -70.517 eV per cell
Space group = No. 87
Uncorrected formation energy = -183.8 kJ per mole of atoms

Cell: 6.0613 7.4229 7.4229 Å, 80.40 65.90 65.90°
Each line ends with the local moment (μB).
Atoms (fractional coordinates):
1 La 0.4036 0.3977 0.7972  0.02
2 La 0.8013 0.7972 0.6023  0.02
3 La 0.2007 0.2028 0.3977  0.02
4 La 0.5985 0.6023 0.2028  0.02
5 Pu 0.0010 0.0000 0.0000  5.47
6 Se 0.9024 0.3922 0.8051  -0.02
7 Se 0.2946 0.8051 0.6078  -0.02
8 Se 0.7075 0.1949 0.3922  -0.02
9 Se 0.0997 0.6078 0.1949  -0.02
10 Se 0.5010 0.0000 0.0000  -0.03


No. 4
VASP calculation (PBE) on an optimized crystal structure of Ce2GeRh.

DFT total energy = -26.342 eV per cell
Space group = No. 123
Energy of formation = -2.5 eV/f.u.

Cell: 3.2298 3.2298 8.2349 Å, 90.00 90.00 90.00°
Atoms (fractional coordinates):
1 Ge 0.5000 0.5000 0.5000
2 Rh 0.5000 0.5000 0.0000
3 Ce 0.0000 0.0000 0.7647
4 Ce 0.0000 0.0000 0.2353


No. 5
VASP calculation (PBE) on an optimized crystal structure of TlZnFeCl2.

ΔE to the lowest computed polymorph = 0.00 eV/f.u.
DFT total energy = -16.532 eV per cell
Space group = No. 123
Uncorrected formation energy = -14.2 kJ per mole of atoms

Cell: 4.6664 5.7427 4.6664 Å, 90.00 90.00 90.00°
Each line ends with the local moment (μB).
Atoms (fractional coordinates):
1 Tl 0.0000 0.5000 0.0000  -0.06
2 Cl 0.0000 0.0000 0.5000  0.06
3 Cl 0.5000 0.0000 0.0000  0.11
4 Zn 0.5000 0.5000 0.5000  0.00
5 Fe 0.0000 0.0000 0.0000  2.96


No. 6
VASP calculation (PBE) on an optimized crystal structure of Dy2Y2Mg15.

DFT total energy = -45.603 eV per cell
Space group = No. 166
Energy of formation = 0.4 eV/f.u.

Cell: 7.8963 7.8963 7.8963 Å, 83.07 83.07 83.07°
Atoms (fractional coordinates):
1 Dy 0.0996 0.0996 0.0996
2 Dy 0.9004 0.9004 0.9004
3 Y 0.3299 0.3299 0.3299
4 Y 0.6701 0.6701 0.6701
5 Mg 0.5000 0.0000 0.0000
6 Mg 0.0000 0.0000 0.5000
7 Mg 0.0000 0.5000 0.0000
8 Mg 0.0000 0.7004 0.2996
9 Mg 0.7004 0.2996 0.0000
10 Mg 0.2996 0.0000 0.7004
11 Mg 0.2996 0.7004 0.0000
12 Mg 0.7004 0.0000 0.2996
13 Mg 0.0000 0.2996 0.7004
14 Mg 0.1571 0.6425 0.6425
15 Mg 0.6425 0.6425 0.1571
16 Mg 0.6425 0.1571 0.6425
17 Mg 0.8429 0.3575 0.3575
18 Mg 0.3575 0.3575 0.8429
19 Mg 0.3575 0.8429 0.3575


No. 7
VASP calculation (PBE) on an optimized crystal structure of KLi3Rh.

ΔE to the lowest computed polymorph = 4.31 eV/f.u.
DFT total energy = -9.170 eV per cell
Space group = No. 221
Energy of formation = 5.0 eV/f.u.

Cell: 4.5284 4.5284 4.5284 Å, 90.00 90.00 90.00°
Atoms (fractional coordinates):
1 K 0.0000 0.0000 0.0000
2 Rh 0.5000 0.5000 0.5000
3 Li 0.0000 0.5000 0.0000
4 Li 0.0000 0.0000 0.5000
5 Li 0.5000 0.0000 0.0000


No. 8
VASP calculation (PBE) on an optimized crystal structure of PPtCl.

ΔE to the lowest computed polymorph = 1.01 eV/f.u.
DFT total energy = -13.406 eV per cell
Space group = No. 42
Uncorrected formation energy = -3.5 kJ per mole of atoms

Cell: 7.1756 6.6930 3.5594 Å, 82.79 67.73 29.48°
Atoms (fractional coordinates):
1 Cl 0.0364 0.0364 0.9636
2 P 0.2869 0.2869 0.7131
3 Pt 0.6767 0.6767 0.3233


No. 9
VASP calculation (PBE) on an optimized crystal structure of RbCe3Pm2Te6.

DFT total energy = -63.016 eV per cell
Space group = No. 12
Uncorrected formation energy = -127.8 kJ per mole of atoms

Cell: 4.5056 9.2844 10.2302 Å, 103.19 102.72 90.00°
Each line ends with the local moment (μB).
Atoms (fractional coordinates):
1 Rb 0.5000 0.0000 0.0000  0.00
2 Ce 0.5000 0.5000 0.0000  0.95
3 Ce 0.8375 0.1711 0.6750  1.06
4 Ce 0.1625 0.8289 0.3250  1.06
5 Pm 0.8286 0.6554 0.6571  0.00
6 Pm 0.1714 0.3446 0.3429  0.00
7 Te 0.3258 0.9082 0.6516  -0.01
8 Te 0.6654 0.5840 0.3307  -0.01
9 Te 0.6742 0.0918 0.3484  -0.01
10 Te 0.0048 0.2698 0.0096  -0.02
11 Te 0.9952 0.7302 0.9904  -0.02
12 Te 0.3346 0.4160 0.6693  -0.01


No. 10
VASP calculation (PBE) on an optimized crystal structure of Ti2Nb2Fe.

ΔE to the lowest computed polymorph = 0.56 eV/f.u.
DFT total energy = -86.941 eV per cell
Space group = No. 127
Energy of formation = 0.9 eV/f.u.

Cell: 6.1118 6.1118 4.4899 Å, 90.00 90.00 90.00°
Atoms (fractional coordinates):
1 Nb 0.1576 0.6576 0.5000
2 Nb 0.6576 0.8424 0.5000
3 Nb 0.8424 0.3424 0.5000
4 Nb 0.3424 0.1576 0.5000
5 Fe 0.0000 0.0000 0.0000
6 Fe 0.5000 0.5000 0.0000
7 Ti 0.3428 0.8428 0.0000
8 Ti 0.8428 0.6572 0.0000
9 Ti 0.6572 0.1572 0.0000
10 Ti 0.1572 0.3428 0.0000


No. 11
VASP calculation (PBE) on an optimized crystal structure of SmDyYAg.

DFT total energy = -19.177 eV per cell
Space group = No. 99
Energy of formation = -0.5 eV/f.u.

Cell: 3.6112 3.6112 8.7994 Å, 90.00 90.00 90.00°
Atoms (fractional coordinates):
1 Sm 0.0000 0.0000 0.0690
2 Dy 0.5000 0.5000 0.7809
3 Y 0.5000 0.5000 0.3613
4 Ag 0.0000 0.0000 0.5735


No. 12
VASP calculation (PBE) on an optimized crystal structure of LaMn2Ag.

DFT total energy = -24.422 eV per cell
Space group = No. 71
Energy of formation = 1.7 eV/f.u.

Cell: 5.6339 5.6339 5.6339 Å, 143.69 127.27 65.70°
Each line ends with the local moment (μB).
Atoms (fractional coordinates):
1 Ag 0.2500 0.7500 0.5000  -0.03
2 La 0.7500 0.2500 0.5000  -0.28
3 Mn 0.0167 0.0167 0.0000  3.54
4 Mn 0.4833 0.4833 0.0000  3.54